[1]
## Ba2TaF (PBE)

Data for Ba2TaF after structural relaxation.

Results
- space-group type = Fm-3m
- E_form (uncorrected) (kJ per mole of atoms) = 14.28
- volume (Å³/cell) = 135.0

a = 5.758 Å, b = 5.758 Å, c = 5.758 Å
α = 60.00°, β = 60.00°, γ = 60.00°
Positions (direct):
Ba: 0.250 0.250 0.250
Ba: 0.750 0.750 0.750
Ta: 0.000 0.000 0.000
F: 0.500 0.500 0.500

[2]
## BaVAs2W (PBE)

Data for BaVAs2W after structural relaxation.

Results
- space-group type = P4/mmm
- E_form (eV/atom) = 0.1844
- volume (Å³/cell) = 125.2

a = 4.997 Å, b = 4.997 Å, c = 5.013 Å
α = 90.00°, β = 90.00°, γ = 90.00°
Positions (direct):
Ba: 0.000 0.000 0.000
V: 0.500 0.500 0.000
As: 0.000 0.500 0.500
As: 0.500 0.000 0.500
W: 0.500 0.500 0.500

[3]
## CeSm7 (PBE)

Data for CeSm7 after structural relaxation.

Results
- space-group type = Fm-3m
- E_form (eV/atom) = 0.0450
- volume (Å³/cell) = 267.7

a = 7.234 Å, b = 7.234 Å, c = 7.234 Å
α = 60.00°, β = 60.00°, γ = 60.00°
Positions (direct):
Ce: 0.000 0.000 0.000
Sm: 0.000 0.000 0.500
Sm: 0.000 0.500 0.000
Sm: 0.000 0.500 0.500
Sm: 0.500 0.000 0.000
Sm: 0.500 0.000 0.500
Sm: 0.500 0.500 0.000
Sm: 0.500 0.500 0.500

[4]
## KTc2Ir (PBE)

Data for KTc2Ir after structural relaxation.

Results
- space-group type = Fm-3m
- E_form (eV/atom) = 1.3538
- volume (Å³/cell) = 65.5

a = 4.525 Å, b = 4.525 Å, c = 4.525 Å
α = 60.00°, β = 60.00°, γ = 60.00°
Positions (direct):
K: 0.000 0.000 0.000
Tc: 0.250 0.250 0.250
Tc: 0.750 0.750 0.750
Ir: 0.500 0.500 0.500

[5]
## SmAlZnIr2 (PBE)

Data for SmAlZnIr2 after structural relaxation.

Results
- space-group type = Cmcm
- E_form (eV/atom) = -0.5336
- volume (Å³/cell) = 191.7

a = 7.192 Å, b = 7.192 Å, c = 6.271 Å
α = 90.00°, β = 90.00°, γ = 143.79°
Positions (direct):
Sm: 0.116 0.884 0.750
Sm: 0.884 0.116 0.250
Al: 0.185 0.815 0.250
Al: 0.815 0.185 0.750
Zn: 0.500 0.500 0.000
Zn: 0.500 0.500 0.500
Ir: 0.320 0.680 0.532
Ir: 0.320 0.680 0.968
Ir: 0.680 0.320 0.032
Ir: 0.680 0.320 0.468

[6]
## Ac2CeMgS6 (PBE)

Data for Ac2CeMgS6 after structural relaxation.

Results
- space-group type = R3
- E_form (uncorrected) (kJ per mole of atoms) = -178.92
- volume (Å³/cell) = 267.6

a = 7.273 Å, b = 7.273 Å, c = 7.273 Å
α = 59.29°, β = 59.29°, γ = 59.29°
Positions (direct):
Ac: 0.000 0.000 0.000
Ac: 0.497 0.497 0.497
Ce: 0.717 0.717 0.717
Mg: 0.219 0.219 0.219
S: 0.070 0.871 0.438
S: 0.360 0.562 0.946
S: 0.438 0.070 0.871
S: 0.562 0.946 0.360
S: 0.871 0.438 0.070
S: 0.946 0.360 0.562

[7]
## Ba3NpCl2O6 (PBE)

Data for Ba3NpCl2O6 after structural relaxation.

Results
- space-group type = C2/m
- E_form (uncorrected) (kJ per mole of atoms) = -230.61
- volume (Å³/cell) = 279.8

a = 7.797 Å, b = 7.797 Å, c = 5.523 Å
α = 93.48°, β = 93.48°, γ = 56.64°
Positions (direct):
Ba: 0.000 0.000 0.000
Ba: 0.000 0.500 0.500
Ba: 0.500 0.000 0.500
Np: 0.500 0.500 0.500
Cl: 0.213 0.213 0.926
Cl: 0.787 0.787 0.074
O: 0.229 0.659 0.689
O: 0.341 0.771 0.311
O: 0.369 0.369 0.336
O: 0.631 0.631 0.664
O: 0.659 0.229 0.689
O: 0.771 0.341 0.311

[8]
## Ac3CdPd (PBE)

Data for Ac3CdPd after structural relaxation.

Results
- space-group type = P1
- E_form (eV/atom) = -0.3206
- volume (Å³/cell) = 356.4

a = 6.470 Å, b = 7.172 Å, c = 8.122 Å
α = 80.33°, β = 83.02°, γ = 74.26°
Positions (direct):
Ac: 0.000 0.000 0.000
Ac: 0.025 0.477 0.546
Ac: 0.381 0.237 0.167
Ac: 0.438 0.603 0.782
Ac: 0.536 0.662 0.290
Ac: 0.625 0.081 0.604
Cd: 0.153 0.970 0.506
Cd: 0.930 0.528 0.970
Pd: 0.551 0.901 0.959
Pd: 0.864 0.257 0.279

[9]
## CaLa2TbPr6 (PBE)

Data for CaLa2TbPr6 after structural relaxation.

Results
- space-group type = C2/c
- E_form (eV/atom) = 0.1149
- volume (Å³/cell) = 733.6

a = 9.116 Å, b = 9.116 Å, c = 10.254 Å
α = 95.68°, β = 95.68°, γ = 118.63°
Positions (direct):
Ca: 0.103 0.897 0.750
Ca: 0.897 0.103 0.250
La: 0.201 0.295 0.956
La: 0.295 0.201 0.456
La: 0.705 0.799 0.544
La: 0.799 0.705 0.044
Tb: 0.481 0.519 0.250
Tb: 0.519 0.481 0.750
Pr: 0.005 0.218 0.625
Pr: 0.086 0.533 0.174
Pr: 0.218 0.005 0.125
Pr: 0.262 0.619 0.550
Pr: 0.381 0.738 0.950
Pr: 0.467 0.914 0.326
Pr: 0.533 0.086 0.674
Pr: 0.619 0.262 0.050
Pr: 0.738 0.381 0.450
Pr: 0.782 0.995 0.875
Pr: 0.914 0.467 0.826
Pr: 0.995 0.782 0.375

[10]
## Pm6Nd2Ga (PBE)

Data for Pm6Nd2Ga after structural relaxation.

Results
- space-group type = C2/m
- E_form (eV/atom) = 0.0272
- volume (Å³/cell) = 302.1

a = 9.992 Å, b = 9.992 Å, c = 3.607 Å
α = 91.71°, β = 91.71°, γ = 57.07°
Positions (direct):
Pm: 0.168 0.505 0.510
Pm: 0.226 0.774 0.000
Pm: 0.495 0.832 0.490
Pm: 0.505 0.168 0.510
Pm: 0.774 0.226 0.000
Pm: 0.832 0.495 0.490
Nd: 0.173 0.173 0.975
Nd: 0.827 0.827 0.025
Ga: 0.500 0.500 0.500

[11]
## NaCu3As3 (PBE)

Data for NaCu3As3 after structural relaxation.

Results
- space-group type = Pm-3n
- E_form (eV/atom) = 0.0550
- volume (Å³/cell) = 302.1

a = 6.710 Å, b = 6.710 Å, c = 6.710 Å
α = 90.00°, β = 90.00°, γ = 90.00°
Positions (direct):
Na: 0.000 0.000 0.000
Na: 0.500 0.500 0.500
Cu: 0.000 0.250 0.500
Cu: 0.000 0.750 0.500
Cu: 0.250 0.500 0.000
Cu: 0.500 0.000 0.250
Cu: 0.500 0.000 0.750
Cu: 0.750 0.500 0.000
As: 0.000 0.500 0.250
As: 0.000 0.500 0.750
As: 0.250 0.000 0.500
As: 0.500 0.250 0.000
As: 0.500 0.750 0.000
As: 0.750 0.000 0.500

[12]
## TmAl10Rh2 (PBE)

Data for TmAl10Rh2 after structural relaxation.

Results
- space-group type = Cmcm
- E_form (eV/atom) = -0.5500
- volume (Å³/cell) = 422.8

a = 6.828 Å, b = 6.828 Å, c = 9.138 Å
α = 90.00°, β = 90.00°, γ = 97.10°
Positions (direct):
Tm: 0.128 0.872 0.750
Tm: 0.872 0.128 0.250
Al: 0.143 0.407 0.750
Al: 0.152 0.848 0.102
Al: 0.152 0.848 0.398
Al: 0.220 0.220 0.000
Al: 0.220 0.220 0.500
Al: 0.224 0.480 0.250
Al: 0.378 0.622 0.552
Al: 0.378 0.622 0.948
Al: 0.407 0.143 0.250
Al: 0.480 0.224 0.750
Al: 0.520 0.776 0.250
Al: 0.593 0.857 0.750
Al: 0.622 0.378 0.052
Al: 0.622 0.378 0.448
Al: 0.776 0.520 0.750
Al: 0.780 0.780 0.000
Al: 0.780 0.780 0.500
Al: 0.848 0.152 0.602
Al: 0.848 0.152 0.898
Al: 0.857 0.593 0.250
Rh: 0.000 0.500 0.000
Rh: 0.000 0.500 0.500
Rh: 0.500 0.000 0.000
Rh: 0.500 0.000 0.500